1.
PAuO4 | PBE | relaxed

Geometry as POSCAR:
```
PAuO4
1.0
3.892 -2.683 0.000
3.892 2.683 0.000
-0.941 0.000 7.705
O P Au
8 2 2
Direct
0.242 0.095 0.278
0.095 0.242 0.778
0.229 0.741 0.915
0.259 0.771 0.585
0.905 0.758 0.222
0.758 0.905 0.722
0.771 0.259 0.085
0.741 0.229 0.415
0.917 0.083 0.250
0.083 0.917 0.750
0.500 0.000 0.500
0.000 0.500 0.000
```

Values from the calculation:
The value obtained for the total energy is -6.02 eV per atom. Its space group is C2/c, No. 15.

2.
LiIrO3 | PBE | relaxed

Geometry as POSCAR:
```
LiIrO3
1.0
-2.542 -4.333 -0.077
-2.542 4.333 -0.077
1.576 0.000 -4.711
Ir O Li
2 6 2
Direct
0.152 0.848 0.000
0.848 0.152 0.000
0.920 0.549 0.222
0.451 0.080 0.778
0.234 0.234 0.261
0.549 0.920 0.222
0.766 0.766 0.739
0.080 0.451 0.778
0.348 0.652 0.500
0.652 0.348 0.500
```

Values from the calculation:
The value obtained for the total energy is -6.17 eV per atom. Its space group is C2/m, No. 12.